Ta4CdAuN2, optimized geometry, DFT PBE-GGA; crystal system = hexagonal; SG = P-6m2 (187); total moment = 0.0 Bohr magnetons per cell; total DFT energy (no corrections) = -9.019 eV/atom
1.0
3.157 0.000 0.000
-1.578 2.734 0.000
0.000 0.000 13.964
Ta Cd Au N
4 1 1 2
direct
0.000 0.000 0.160
0.000 0.000 0.840
0.333 0.667 0.326
0.333 0.667 0.674
0.000 0.000 0.500
0.333 0.667 0.000
0.667 0.333 0.243
0.667 0.333 0.757